An optimized crystal structure of Tl2GeS2, computed with PBE.

Properties
- density (g/cm3) = 6.89
- N(E_F) (states/eV/f.u.) = 2.2
- magnetization (μB/cell) = 0.00
- polymorph energy (0 for the lowest one) (meV per atom) = 596.6
- DFT total energy (Ry per atom) = -0.23544

a b c (Å): 4.284 4.284 7.778
angles (deg): 74.01 74.01 90.00
Fractional positions:
S1 0.426 0.426 0.148
S2 0.574 0.574 0.852
Ge1 0.000 0.000 0.000
Tl1 0.750 0.250 0.500
Tl2 0.250 0.750 0.500

---

An optimized crystal structure of Tl3GeS3, computed with PBE.

Properties
- density (g/cm3) = 5.51
- N(E_F) (states/eV/f.u.) = 2.5
- magnetization (μB/cell) = 0.00
- DFT total energy (Ry per atom) = -0.26978

a b c (Å): 6.561 9.096 9.096
angles (deg): 119.78 90.00 90.00
Fractional positions:
S1 0.750 0.612 0.806
S2 0.750 0.193 0.807
S3 0.250 0.807 0.193
S4 0.250 0.388 0.194
S5 0.750 0.194 0.388
S6 0.250 0.806 0.612
Tl1 0.250 0.199 0.802
Tl2 0.250 0.602 0.801
Tl3 0.750 0.398 0.199
Tl4 0.750 0.801 0.602
Tl5 0.750 0.801 0.198
Tl6 0.250 0.199 0.398
Ge1 0.250 0.667 0.333
Ge2 0.750 0.333 0.667

---

An optimized crystal structure of Tl3GeS4, computed with PBE.

Properties
- density (g/cm3) = 6.02
- N(E_F) (states/eV/f.u.) = 5.0
- magnetization (μB/cell) = 0.00
- polymorph energy (0 for the lowest one) (meV per atom) = 0.0
- DFT total energy (Ry per atom) = -0.28298

a b c (Å): 9.179 9.379 10.439
angles (deg): 90.00 90.00 90.00
Fractional positions:
S1 0.172 0.979 0.924
S2 0.672 0.521 0.924
S3 0.837 0.228 0.750
S4 0.328 0.479 0.076
S5 0.663 0.728 0.250
S6 0.022 0.563 0.750
S7 0.478 0.063 0.250
S8 0.163 0.772 0.250
S9 0.337 0.272 0.750
S10 0.328 0.479 0.424
S11 0.172 0.979 0.576
S12 0.672 0.521 0.576
S13 0.978 0.437 0.250
S14 0.828 0.021 0.424
S15 0.828 0.021 0.076
S16 0.522 0.937 0.750
Ge1 0.699 0.966 0.250
Ge2 0.301 0.034 0.750
Ge3 0.801 0.466 0.750
Ge4 0.199 0.534 0.250
Tl1 0.101 0.311 0.560
Tl2 0.601 0.189 0.940
Tl3 0.576 0.391 0.250
Tl4 0.899 0.689 0.060
Tl5 0.399 0.811 0.060
Tl6 0.424 0.609 0.750
Tl7 0.101 0.311 0.940
Tl8 0.601 0.189 0.560
Tl9 0.924 0.891 0.750
Tl10 0.076 0.109 0.250
Tl11 0.399 0.811 0.440
Tl12 0.899 0.689 0.440

---

An optimized crystal structure of Tl2GeS, computed with PBE.

Properties
- density (g/cm3) = 8.58
- N(E_F) (states/eV/f.u.) = 3.3
- magnetization (μB/cell) = 0.00
- polymorph energy (0 for the lowest one) (meV per atom) = 196.1
- DFT total energy (Ry per atom) = -0.22885

a b c (Å): 5.198 5.198 5.198
angles (deg): 60.00 60.00 60.00
Fractional positions:
S1 0.000 0.000 0.000
Tl1 0.250 0.250 0.250
Tl2 0.750 0.750 0.750
Ge1 0.500 0.500 0.500

---

An optimized crystal structure of TlGe2S3, computed with PBE.

Properties
- density (g/cm3) = 4.38
- N(E_F) (states/eV/f.u.) = 1.1
- magnetization (μB/cell) = 0.00
- DFT total energy (Ry per atom) = -0.30892

a b c (Å): 4.209 7.128 11.490
angles (deg): 93.50 100.55 90.00
Fractional positions:
Tl1 0.666 0.833 0.333
Tl2 0.334 0.167 0.667
S1 0.811 0.834 0.623
S2 0.943 0.142 0.886
S3 0.432 0.681 0.864
S4 0.568 0.319 0.136
S5 0.189 0.166 0.377
S6 0.057 0.858 0.114
Ge1 0.325 0.649 0.649
Ge2 0.047 0.175 0.094
Ge3 0.675 0.351 0.351
Ge4 0.953 0.825 0.906

---

An optimized crystal structure of Tl3Ge5S12, computed with PBE.

Properties
- density (g/cm3) = 4.85
- N(E_F) (states/eV/f.u.) = 13.2
- magnetization (μB/cell) = 0.00
- DFT total energy (Ry per atom) = -0.30115

a b c (Å): 13.432 13.432 13.432
angles (deg): 109.47 109.47 109.47
Fractional positions:
Tl1 0.625 0.375 0.750
Tl2 0.375 0.625 0.250
Tl3 0.250 0.625 0.875
Tl4 0.125 0.875 0.750
Tl5 0.250 0.125 0.375
Tl6 0.125 0.250 0.875
Tl7 0.750 0.875 0.625
Tl8 0.625 0.250 0.375
Tl9 0.375 0.750 0.625
Tl10 0.750 0.375 0.125
Tl11 0.875 0.125 0.250
Tl12 0.875 0.750 0.125
S1 0.684 0.480 0.593
S2 0.591 0.704 0.684
S3 0.980 0.387 0.296
S4 0.480 0.796 0.887
S5 0.480 0.684 0.093
S6 0.684 0.204 0.591
S7 0.387 0.980 0.796
S8 0.409 0.113 0.593
S9 0.409 0.296 0.316
S10 0.113 0.704 0.520
S11 0.613 0.593 0.909
S12 0.980 0.593 0.184
S13 0.296 0.887 0.980
S14 0.887 0.591 0.907
S15 0.613 0.020 0.204
S16 0.887 0.296 0.480
S17 0.296 0.409 0.816
S18 0.091 0.184 0.204
S19 0.520 0.316 0.907
S20 0.204 0.684 0.091
S21 0.316 0.796 0.409
S22 0.704 0.113 0.020
S23 0.093 0.909 0.113
S24 0.184 0.093 0.980
S25 0.593 0.613 0.409
S26 0.796 0.480 0.387
S27 0.407 0.020 0.316
S28 0.796 0.316 0.909
S29 0.909 0.816 0.796
S30 0.816 0.909 0.296
S31 0.113 0.409 0.093
S32 0.020 0.613 0.704
S33 0.909 0.093 0.613
S34 0.907 0.816 0.520
S35 0.387 0.407 0.091
S36 0.907 0.091 0.887
S37 0.593 0.980 0.684
S38 0.093 0.184 0.480
S39 0.591 0.887 0.407
S40 0.184 0.091 0.704
S41 0.091 0.907 0.387
S42 0.704 0.591 0.184
S43 0.020 0.407 0.816
S44 0.816 0.907 0.020
S45 0.407 0.387 0.591
S46 0.204 0.520 0.613
S47 0.520 0.204 0.113
S48 0.316 0.520 0.407
Ge1 0.125 0.375 0.250
Ge2 0.375 0.125 0.750
Ge3 0.875 0.250 0.625
Ge4 0.500 0.500 0.000
Ge5 0.250 0.875 0.125
Ge6 0.500 0.500 0.500
Ge7 0.500 0.000 0.500
Ge8 0.750 0.625 0.375
Ge9 0.250 0.375 0.625
Ge10 0.875 0.625 0.750
Ge11 0.625 0.875 0.250
Ge12 0.000 0.500 0.500
Ge13 0.000 0.000 0.000
Ge14 0.000 0.000 0.500
Ge15 0.375 0.250 0.125
Ge16 0.750 0.125 0.875
Ge17 0.000 0.500 0.000
Ge18 0.625 0.750 0.875
Ge19 0.125 0.750 0.375
Ge20 0.500 0.000 0.000

---

- Among the records above, which one has the highest density?
  Tl2GeS

---

- Among the records above, which one has the lowest density?
  TlGe2S3

---

- What is the density in the fifth record?
  4.38 g/cm3